Material: Mg7Tl2HgBi2
Method: DFT, GGA-PBE
State: relaxed

abc: 4.8312 4.8312 13.3528
angles: 90.49 90.49 89.96
Last column: nearest neighbours and their distance in Å.
Atoms (fractional coordinates):
Mg: 0.0000 0.0000 0.0000  8 Mg 3.09-3.10, 4 Hg 3.41-3.42
Mg: 0.0000 0.4972 0.8550  2 Hg 3.08-3.11, 6 Mg 3.09-3.43, 2 Bi 3.17-3.21, 2 Tl 3.26-3.30
Mg: 0.0000 0.5028 0.1450  2 Hg 3.08-3.11, 6 Mg 3.09-3.43, 2 Bi 3.17-3.21, 2 Tl 3.26-3.30
Mg: 0.2581 0.2581 0.4999  2 Tl 3.06-3.10, 2 Bi 3.12-3.14, 3 Mg 3.31-3.42
Mg: 0.4972 0.0000 0.8550  2 Hg 3.08-3.11, 6 Mg 3.09-3.43, 2 Bi 3.17-3.21, 2 Tl 3.26-3.30
Mg: 0.5028 0.0000 0.1450  2 Hg 3.08-3.11, 6 Mg 3.09-3.43, 2 Bi 3.17-3.21, 2 Tl 3.26-3.30
Mg: 0.7419 0.7419 0.5001  2 Tl 3.06-3.10, 2 Bi 3.12-3.14, 3 Mg 3.31-3.42
Tl: 0.9999 0.9999 0.3112  6 Mg 3.06-3.30, 4 Bi 3.42-3.43
Tl: 0.0001 0.0001 0.6888  6 Mg 3.06-3.30, 4 Bi 3.42-3.43
Hg: 0.5000 0.5000 0.0000  12 Mg 3.08-3.42
Bi: 0.4989 0.4989 0.3009  6 Mg 3.12-3.21, 4 Tl 3.42-3.43
Bi: 0.5011 0.5011 0.6991  6 Mg 3.12-3.21, 4 Tl 3.42-3.43

Computed properties:
**Space group**: C2/m
**Density**: 6.38 Mg/m³
**V**: 311.6 Å³ per cell
**Formation energy**: -0.048 eV per atom



Material: MgTlHgBi
Method: DFT, GGA-PBE
State: relaxed

abc: 3.4774 3.4774 9.0054
angles: 90.00 90.00 90.00
Last column: nearest neighbours and their distance in Å.
Atoms (fractional coordinates):
Mg: 0.0000 0.0000 0.0000  4 Hg 2.98, 4 Bi 3.29
Tl: 0.0000 0.0000 0.4532  4 Hg 3.44, 4 Tl 3.48, 4 Bi 3.68
Hg: 0.5000 0.5000 0.1863  4 Mg 2.98
Bi: 0.5000 0.5000 0.7566  4 Mg 3.29, 4 Bi 3.48, 4 Tl 3.68

Computed properties:
**Space group**: P4mm
**Density**: 9.73 Mg/m³
**Energy relative to the lowest polymorph listed for this composition**: 0 meV/atom
**V**: 108.9 Å³ per cell
**Formation energy**: -0.108 eV per atom



Material: MgZrHg2Bi
Method: DFT, GGA-PBE
State: relaxed

abc: 5.0129 5.0129 5.6237
angles: 90.00 90.00 90.00
Last column: nearest neighbours and their distance in Å.
Atoms (fractional coordinates):
Mg: 0.0000 0.0000 0.0000  4 Hg 2.51
Zr: 0.0000 0.0000 0.5000  2 Mg 2.81
Hg: 0.0000 0.5000 0.0000  2 Mg 2.51
Hg: 0.5000 0.0000 0.0000  2 Mg 2.51
Bi: 0.5000 0.5000 0.5000  4 Zr 3.54, 8 Hg 3.77

Computed properties:
**Space group**: P4/mmm
**Density**: 8.53 Mg/m³
**V**: 141.3 Å³ per cell
**Formation energy**: 0.532 eV per atom



Material: MnHg2Bi2
Method: DFT, GGA-PBE
State: relaxed

abc: 9.7357 9.7357 9.7357
angles: 156.47 156.47 33.51
Last column: nearest neighbours and their distance in Å.
Atoms (fractional coordinates):
Mn: 0.0000 0.0000 0.0000  8 Bi 3.19
Hg: 0.2500 0.7500 0.5000  4 Hg 2.81
Hg: 0.7500 0.2500 0.5000  4 Hg 2.81
Bi: 0.4191 0.4191 0.0000  1 Bi 3.02, 4 Mn 3.19
Bi: 0.5809 0.5809 0.0000  1 Bi 3.02, 4 Mn 3.19

Computed properties:
**Space group**: I4/mmm
**Density**: 9.88 Mg/m³
**Energy relative to the lowest polymorph listed for this composition**: 0 meV/atom
**V**: 146.9 Å³ per cell
**Formation energy**: 0.295 eV per atom



Material: MnHgBi2
Method: DFT, GGA-PBE
State: relaxed

abc: 7.9739 7.9739 7.9739
angles: 132.45 132.45 69.51
Last column: nearest neighbours and their distance in Å.
Atoms (fractional coordinates):
Mn: 0.0000 0.0000 0.0000  4 Bi 2.50
Mn: 0.7500 0.2500 0.5000  4 Bi 2.50
Hg: 0.2500 0.7500 0.5000  4 Bi 3.20
Hg: 0.5000 0.5000 0.0000  4 Bi 3.20
Bi: 0.0281 0.6250 0.9031  2 Mn 2.50
Bi: 0.3750 0.2781 0.4031  2 Mn 2.50
Bi: 0.7219 0.1250 0.0969  2 Mn 2.50
Bi: 0.8750 0.9719 0.5969  2 Mn 2.50

Computed properties:
**Space group**: I-42d
**Density**: 8.26 Mg/m³
**V**: 270.8 Å³ per cell
**Formation energy**: 0.671 eV per atom



Material: MnHg2Bi2
Method: DFT, GGA-PBE
State: relaxed

abc: 7.3962 7.3962 4.8364
angles: 90.00 90.00 90.00
Last column: nearest neighbours and their distance in Å.
Atoms (fractional coordinates):
Mn: 0.0000 0.0000 0.0000  4 Hg 2.82
Mn: 0.5000 0.5000 0.0000  4 Hg 2.82
Hg: 0.1490 0.3510 0.0000  2 Mn 2.82, 1 Hg 3.12, 2 Bi 3.14
Hg: 0.3510 0.8510 0.0000  2 Mn 2.82, 1 Hg 3.12, 2 Bi 3.14
Hg: 0.6490 0.1490 0.0000  2 Mn 2.82, 1 Hg 3.12, 2 Bi 3.14
Hg: 0.8510 0.6490 0.0000  2 Mn 2.82, 1 Hg 3.12, 2 Bi 3.14
Bi: 0.1598 0.6598 0.5000  6 Hg 3.14-3.33, 1 Bi 3.34
Bi: 0.3402 0.1598 0.5000  6 Hg 3.14-3.33, 1 Bi 3.34
Bi: 0.6598 0.8402 0.5000  6 Hg 3.14-3.33, 1 Bi 3.34
Bi: 0.8402 0.3402 0.5000  6 Hg 3.14-3.33, 1 Bi 3.34

Computed properties:
**Space group**: P4/mbm
**Density**: 10.97 Mg/m³
**Energy relative to the lowest polymorph listed for this composition**: 51 meV/atom
**V**: 264.6 Å³ per cell
**Formation energy**: 0.346 eV per atom



Material: MnHg2Bi2
Method: DFT, GGA-PBE
State: relaxed

abc: 7.3814 7.3814 5.2167
angles: 90.00 90.00 90.00
Last column: nearest neighbours and their distance in Å.
Atoms (fractional coordinates):
Mn: 0.0000 0.0000 0.0000  4 Bi 2.80
Mn: 0.5000 0.5000 0.0000  4 Bi 2.80
Hg: 0.1639 0.3361 0.5000  6 Bi 3.23-3.51, 1 Hg 3.42
Hg: 0.3361 0.8361 0.5000  6 Bi 3.23-3.51, 1 Hg 3.42
Hg: 0.6639 0.1639 0.5000  6 Bi 3.23-3.51, 1 Hg 3.42
Hg: 0.8361 0.6639 0.5000  6 Bi 3.23-3.51, 1 Hg 3.42
Bi: 0.1533 0.6533 0.0000  2 Mn 2.80
Bi: 0.3467 0.1533 0.0000  2 Mn 2.80
Bi: 0.6533 0.8467 0.0000  2 Mn 2.80
Bi: 0.8467 0.3467 0.0000  2 Mn 2.80

Computed properties:
**Space group**: P4/mbm
**Density**: 10.21 Mg/m³
**Energy relative to the lowest polymorph listed for this composition**: 13 meV/atom
**V**: 284.2 Å³ per cell
**Formation energy**: 0.308 eV per atom



Material: NaMnHg2Bi
Method: DFT, GGA-PBE
State: relaxed

abc: 5.1969 5.1969 5.5522
angles: 90.00 90.00 90.00
Last column: nearest neighbours and their distance in Å.
Atoms (fractional coordinates):
Na: 0.0000 0.0000 0.0000  4 Hg 2.60, 2 Mn 2.78
Mn: 0.0000 0.0000 0.5000  2 Na 2.78
Hg: 0.0000 0.5000 0.0000  2 Na 2.60
Hg: 0.5000 0.0000 0.0000  2 Na 2.60
Bi: 0.5000 0.5000 0.5000  4 Mn 3.67, 8 Hg 3.80

Computed properties:
**Space group**: P4/mmm
**Density**: 7.62 Mg/m³
**V**: 149.9 Å³ per cell
**Formation energy**: 0.757 eV per atom